No. 1
An optimized crystal structure of NpTl2GeTe4. Source: Alexandria, functional PBE-GGA.

Density of states at the Fermi level in states/eV/atom: 0.897
Final energy in eV per atom: -4.730
Space-group type: No. 10

Cell: 4.4498 8.3445 7.7418 Å, 72.62 90.00 90.00°
Last column: magnetic moment on the atom in μB.
Sites, in units of the cell vectors:
Np 0.0000 0.5000 0.5000  3.56
Tl 0.0000 0.0000 0.0000  -0.03
Tl 0.5000 0.0000 0.5000  -0.01
Ge 0.5000 0.5000 0.0000  -0.01
Te 0.0000 0.7036 0.7654  -0.09
Te 0.0000 0.2964 0.2346  -0.09
Te 0.5000 0.7082 0.2612  -0.09
Te 0.5000 0.2918 0.7388  -0.09

---

No. 2
An optimized crystal structure of LaHoP2. Source: Alexandria, functional PBE-GGA.

ΔH_f (0 K) in eV per atom: -1.446
Density of states at the Fermi level in states/eV/atom: 0.060
Energy above the lowest structure with this stoichiometry in meV/atom: 132.4
Space-group type: No. 160

Cell: 4.0606 4.0606 7.4318 Å, 74.15 74.15 60.00°
Sites, in units of the cell vectors:
La 0.4975 0.4975 0.5076
Ho 0.6685 0.6685 0.9944
P 0.0780 0.0780 0.7661
P 0.2561 0.2561 0.2318

---

No. 3
An optimized crystal structure of MgAsH2O6. Source: Alexandria, functional PBE-GGA.

Final energy in eV per atom: -5.402
Space-group type: No. 15

Cell: 6.3776 7.0386 7.0386 Å, 112.11 82.80 82.80°
Last column: magnetic moment on the atom in μB.
Sites, in units of the cell vectors:
Mg 0.2500 0.8756 0.1244  0.00
Mg 0.7500 0.1244 0.8756  0.00
As 0.2500 0.1202 0.8798  0.00
As 0.7500 0.8798 0.1202  0.00
H 0.2390 0.7364 0.6609  0.00
H 0.2610 0.3391 0.2636  0.00
H 0.7610 0.2636 0.3391  0.00
H 0.7390 0.6609 0.7364  0.00
O 0.2920 0.8494 0.8186  0.00
O 0.2080 0.1814 0.1506  0.00
O 0.7080 0.1506 0.1814  0.00
O 0.7920 0.8186 0.8494  0.00
O 0.5264 0.8007 0.1962  0.00
O 0.9736 0.8038 0.1993  0.00
O 0.4736 0.1993 0.8038  0.00
O 0.0264 0.1962 0.8007  0.00
O 0.1668 0.6206 0.5172  0.41
O 0.3332 0.4828 0.3794  0.41
O 0.8332 0.3794 0.4828  0.41
O 0.6668 0.5172 0.6206  0.41

---

| no. | spin magnetization (μB per formula unit) |
| --- | --- |
| 1 | 3.01 |
| 2 | 0.00 |
| 3 | 1.00 |